Entry 1:
Here is crystalline YTcNiB at its relaxed geometry from OQMD. Energies are from PBE-GGA.

The structure belongs to space group F-43m (No. 216); the cell edges are 6.111, 6.111 and 6.111 Å and the angles 90.00°, 90.00° and 90.00°. The inequivalent atoms are Y at (0.000, 0.000, 0.000), Tc at (0.000, 0.000, 0.500), Ni at (0.250, 0.250, 0.750) and B at (0.250, 0.250, 0.250).

The calculation puts the total energy at -6.9764 eV per atom. The calculation puts the size of the total moment at 0.0316 μB per atom.

---

Entry 2:
Here is crystalline YTcNiB at its relaxed geometry from OQMD. Energies are from PBE-GGA.

The structure belongs to space group F-43m (No. 216); the cell edges are 6.076, 6.076 and 6.076 Å and the angles 90.00°, 90.00° and 90.00°. The inequivalent atoms are Y at (0.000, 0.000, 0.000), Tc at (0.250, 0.250, 0.250), Ni at (0.250, 0.250, 0.750) and B at (0.000, 0.000, 0.500).

The calculation puts the total energy at -6.6887 eV per atom. The calculation puts the size of the total moment at 0.0453 μB per atom.

---

Entry 3:
Here is crystalline ZrTcNiB at its relaxed geometry from OQMD. Energies are from PBE-GGA.

The structure belongs to space group F-43m (No. 216); the cell edges are 5.955, 5.955 and 5.955 Å and the angles 90.00°, 90.00° and 90.00°. The inequivalent atoms are Zr at (0.000, 0.000, 0.000), Tc at (0.000, 0.000, 0.500), Ni at (0.250, 0.250, 0.750) and B at (0.250, 0.250, 0.250).

The calculation puts the total energy at -7.7249 eV per atom. The calculation puts the size of the total moment at 0.0054 μB per atom.